Entry 1:
A plane-wave DFT calculation with GGA-PBE was carried out for crystalline Tb2Er3In3 at its relaxed geometry.

Properties
Formation energy from the elements ... -0.344 eV/atom

Unit cell a=4.8840 b=4.8960 c=9.1324 alpha=90.00 beta=90.00 gamma=90.00
Last column: nearest neighbours and their distance in Å.
Fractional positions:
1 Tb 0.0000 0.0000 0.2394  6 In 3.28-3.41, 6 Er 3.41-3.46
2 Tb 0.0000 0.0000 0.7606  6 In 3.28-3.41, 6 Er 3.41-3.46
3 Er 0.5000 0.0000 0.5000  4 Tb 3.41, 4 Er 3.44, 4 In 3.46
4 Er 0.5000 0.5000 0.2352  6 In 3.25-3.44, 2 Er 3.44, 4 Tb 3.46
5 Er 0.5000 0.5000 0.7648  6 In 3.25-3.44, 2 Er 3.44, 4 Tb 3.46
6 In 0.0000 0.5000 0.0000  4 Er 3.25, 4 Tb 3.28, 4 In 3.46
7 In 0.0000 0.5000 0.5000  4 Tb 3.41, 8 Er 3.44-3.46
8 In 0.5000 0.0000 0.0000  4 Er 3.26, 4 Tb 3.28, 4 In 3.46

=====

Entry 2:
A plane-wave DFT calculation with GGA-PBE was carried out for crystalline Tb4ErIn3 at its relaxed geometry.

Properties
Formation energy from the elements ... -0.220 eV/atom

Unit cell a=8.9142 b=8.9142 c=8.9142 alpha=157.19 beta=120.28 gamma=64.79
Last column: nearest neighbours and their distance in Å.
Fractional positions:
1 Tb 0.0603 0.8614 0.1990  5 In 3.21-3.27, 1 Er 3.39, 3 Tb 3.53
2 Tb 0.3376 0.1386 0.1990  5 In 3.21-3.27, 1 Er 3.39, 3 Tb 3.53
3 Tb 0.6624 0.8614 0.8010  5 In 3.21-3.27, 1 Er 3.39, 3 Tb 3.53
4 Tb 0.9397 0.1386 0.8010  5 In 3.21-3.27, 1 Er 3.39, 3 Tb 3.53
5 Er 0.5000 0.0000 0.5000  4 In 3.28, 4 Tb 3.39, 2 Er 3.53
6 In 0.0000 0.5000 0.5000  8 Tb 3.25, 2 In 3.53
7 In 0.3164 0.3164 0.0000  6 Tb 3.21-3.27, 2 Er 3.28, 2 In 3.53
8 In 0.6836 0.6836 0.0000  6 Tb 3.21-3.27, 2 Er 3.28, 2 In 3.53

=====

Entry 3:
A plane-wave DFT calculation with GGA-PBE was carried out for crystalline Tb14ErIn at its relaxed geometry.

Properties
Formation energy from the elements ... -0.033 eV/atom

Unit cell a=7.0511 b=7.0511 c=10.0186 alpha=90.00 beta=90.00 gamma=90.00
Last column: nearest neighbours and their distance in Å.
Fractional positions:
1 Tb 0.0000 0.0000 0.0000  12 Tb 3.53-3.56
2 Tb 0.0000 0.5000 0.0000  12 Tb 3.53-3.56
3 Tb 0.0000 0.5000 0.5000  8 Tb 3.51, 2 In 3.53, 2 Er 3.53
4 Tb 0.2504 0.2504 0.2530  1 In 3.51, 10 Tb 3.51-3.56, 1 Er 3.51
5 Tb 0.2504 0.2504 0.7470  1 In 3.51, 10 Tb 3.51-3.56, 1 Er 3.51
6 Tb 0.2504 0.7496 0.2530  1 In 3.51, 10 Tb 3.51-3.56, 1 Er 3.51
7 Tb 0.2504 0.7496 0.7470  1 In 3.51, 10 Tb 3.51-3.56, 1 Er 3.51
8 Tb 0.5000 0.0000 0.0000  12 Tb 3.53-3.56
9 Tb 0.5000 0.0000 0.5000  8 Tb 3.51, 2 In 3.53, 2 Er 3.53
10 Tb 0.5000 0.5000 0.0000  12 Tb 3.53-3.55
11 Tb 0.7496 0.2504 0.2530  1 In 3.51, 10 Tb 3.51-3.56, 1 Er 3.51
12 Tb 0.7496 0.2504 0.7470  1 In 3.51, 10 Tb 3.51-3.56, 1 Er 3.51
13 Tb 0.7496 0.7496 0.2530  1 In 3.51, 10 Tb 3.51-3.56, 1 Er 3.51
14 Tb 0.7496 0.7496 0.7470  1 In 3.51, 10 Tb 3.51-3.56, 1 Er 3.51
15 Er 0.0000 0.0000 0.5000  12 Tb 3.51-3.53
16 In 0.5000 0.5000 0.5000  12 Tb 3.51-3.53

=====

Entry 4:
A plane-wave DFT calculation with GGA-PBE was carried out for crystalline TbErIn at its relaxed geometry.

Properties
Formation energy from the elements ... -0.313 eV/atom

Unit cell a=7.2923 b=7.2923 c=7.2923 alpha=151.97 beta=151.97 gamma=40.06
Last column: nearest neighbours and their distance in Å.
Fractional positions:
1 Tb 0.0000 0.0000 0.0000  4 In 3.31, 4 Tb 3.53, 4 Er 3.59
2 Er 0.3123 0.3123 0.0000  4 In 3.27, 4 Er 3.53, 4 Tb 3.59
3 In 0.6581 0.6581 0.0000  4 Er 3.27, 4 Tb 3.31, 4 In 3.53

=====

Question: formation energy from the elements of number 3 (Tb14ErIn)?
Answer: -0.033 eV/atom

=====

Question: The highest formation energy from the elements belongs to which entry?
Answer: Tb14ErIn

=====

Question: Among the records above, which one has the highest formation energy from the elements?
Answer: Tb14ErIn